No. 1
This record from Alexandria via LeMat-Bulk describes a relaxed structure of Cr3TcOs. The functional is PBE.

```
data_Cr3TcOs
_space_group_name_H-M_alt 'P m -3 m'
_space_group_IT_number 221
_space_group_name_Hall '-P 4 2 3'
_cell_length_a 4.408
_cell_length_b 4.408
_cell_length_c 4.408
_cell_angle_alpha 90.00
_cell_angle_beta 90.00
_cell_angle_gamma 90.00
loop_
_atom_site_label
_atom_site_fract_x
_atom_site_fract_y
_atom_site_fract_z
Cr1 0.000 0.000 0.500
Tc1 0.500 0.500 0.500
Os1 0.000 0.000 0.000
```

ΔE to the lowest computed polymorph   0.000 eV per atom
Calculated density   8.61 g/cm3
Calculated formation energy   1.80 eV per atom
Calculated volume   17.13 Å³/atom

No. 2
This record from Alexandria via LeMat-Bulk describes a relaxed structure of Cr3TcOs. The functional is PBE.

```
data_Cr3TcOs
_space_group_name_H-M_alt 'P m -3 m'
_space_group_IT_number 221
_space_group_name_Hall '-P 4 2 3'
_cell_length_a 4.324
_cell_length_b 4.324
_cell_length_c 4.324
_cell_angle_alpha 90.00
_cell_angle_beta 90.00
_cell_angle_gamma 90.00
loop_
_atom_site_label
_atom_site_fract_x
_atom_site_fract_y
_atom_site_fract_z
Cr1 0.000 0.000 0.500
Tc1 0.000 0.000 0.000
Os1 0.500 0.500 0.500
```

ΔE to the lowest computed polymorph   0.026 eV per atom
Calculated density   9.12 g/cm3
Calculated formation energy   1.83 eV per atom
Calculated volume   16.17 Å³/atom

No. 3
This record from Alexandria via LeMat-Bulk describes a relaxed structure of CrTc2Os. The functional is PBE.

```
data_CrTc2Os
_space_group_name_H-M_alt 'P m m m'
_space_group_IT_number 47
_cell_length_a 2.712
_cell_length_b 3.799
_cell_length_c 5.409
_cell_angle_alpha 90.00
_cell_angle_beta 90.00
_cell_angle_gamma 90.00
loop_
_space_group_symop_operation_xyz
'x,y,z'
'-x,-y,-z'
'-x,-y,z'
'x,y,-z'
'x,-y,-z'
'-x,y,z'
'-x,y,-z'
'x,-y,z'
loop_
_atom_site_label
_atom_site_fract_x
_atom_site_fract_y
_atom_site_fract_z
Cr1 0.000 0.000 0.000
Tc1 0.500 0.500 0.241
Os1 0.000 0.000 0.500
```

ΔE to the lowest computed polymorph   0.017 eV per atom
Calculated density   13.06 g/cm3
Calculated formation energy   0.12 eV per atom
Calculated volume   13.93 Å³/atom